Entry 1:
HgSe2F8 | PBE | relaxed

abc: 13.0164 5.2840 5.5795
angles: 90.00 91.06 90.00
Closest atoms and distances in Å follow each position.
Space group C2/m (No. 12)
Inequivalent atoms, fractional coordinates:
Hg  0.0000  0.0000  0.0000  2 F 2.17
Se  0.2114  0.0000  0.4340  3 F 1.79-1.92
F  0.1106  0.0000  0.7128  1 Se 2.05, 1 Hg 2.17
F  0.1176  0.2293  0.2755  1 Se 1.92
F  0.2104  0.5000  0.8258  1 Se 1.79

## Properties
E_form (uncorrected) = -1.36 eV/atom
M_tot = 0.0 μB/cell


Entry 2:
Hg2SeF | PBE | relaxed

abc: 4.4203 4.4203 21.4546
angles: 90.00 90.00 120.00
Closest atoms and distances in Å follow each position.
Space group R-3m (No. 166, hexagonal axes)
Inequivalent atoms, fractional coordinates:
Hg  0.0000  0.0000  0.1050  1 F 2.25
Se  0.0000  0.0000  0.5000  6 Hg 2.87
F  0.0000  0.0000  0.0000  2 Hg 2.25

## Properties
E_form (uncorrected) = -0.48 eV/atom
M_tot = 0.0 μB/cell
polymorph energy (0 for the lowest one) = 140 meV/atom


Entry 3:
Hg2SeF | PBE | relaxed

abc: 4.3825 5.6346 8.7967
angles: 89.05 89.62 86.42
Closest atoms and distances in Å follow each position.
Space group P1 (No. 1)
Inequivalent atoms, fractional coordinates:
Hg  0.0000  0.0000  0.0000  2 F 2.40-2.43, 1 Hg 2.65
Hg  0.0361  0.0115  0.5347  3 Se 2.62-2.68
Hg  0.3574  0.6335  0.0989  1 F 2.20
Hg  0.5559  0.5426  0.6618  1 F 2.41, 3 Se 2.63-2.68
Se  0.0693  0.3134  0.7562  4 Hg 2.62-2.78
Se  0.5591  0.8177  0.4173  3 Hg 2.63-2.68
F  0.6076  0.8488  0.8467  2 Hg 2.40-2.41
F  0.6669  0.3104  0.1146  2 Hg 2.20-2.43

## Properties
E_form (uncorrected) = -0.62 eV/atom
M_tot = 0.0 μB/cell
polymorph energy (0 for the lowest one) = 0 meV/atom


Entry 4:
Hg2SeF | PBE | relaxed

abc: 5.6577 5.6577 13.5298
angles: 90.00 90.00 90.00
Closest atoms and distances in Å follow each position.
Space group I-42d (No. 122)
Inequivalent atoms, fractional coordinates:
Hg  0.2243  0.2500  0.1250  2 F 2.54, 2 Se 2.70
Se  0.0000  0.0000  0.5000  4 Hg 2.70
F  0.0000  0.0000  0.0000  4 Hg 2.54

## Properties
E_form (uncorrected) = -0.50 eV/atom
M_tot = 0.0 μB/cell
polymorph energy (0 for the lowest one) = 119 meV/atom